Entry 1:
Density functional theory data (GGA-PBE) for a relaxed structure of LiY2Re.

Cell lengths 4.5008, 4.5008, 9.9855 Å; angles 76.98, 76.98, 90.00 degrees
With the nearest neighbours (Å) after each atom.
Sites, in units of the cell vectors:
Li  0.5000  0.5000  0.0000  4 Y 2.88, 4 Re 3.18
Y  0.6396  0.1250  0.2500  2 Re 2.83, 2 Li 2.88, 2 Y 3.09
Re  0.7500  0.2500  0.5000  4 Y 2.83
Y  0.8750  0.8896  0.7500  2 Re 2.83, 2 Li 2.88, 2 Y 3.09
Re  0.0000  0.0000  0.0000  4 Y 2.83
Y  0.3750  0.3604  0.7500  2 Re 2.83, 2 Li 2.88, 2 Y 3.09
Li  0.2500  0.7500  0.5000  4 Y 2.88, 4 Re 3.18
Y  0.1104  0.6250  0.2500  2 Re 2.83, 2 Li 2.88, 2 Y 3.09

Summary:
Energy of formation: 3.90 eV/f.u.
Space-group type: I-42d (122)

Entry 2:
Density functional theory data (GGA-PBE) for a relaxed structure of VFe3Ge.

Cell lengths 4.2903, 4.2903, 4.2903 Å; angles 90.00, 90.00, 90.00 degrees
With the nearest neighbours (Å) after each atom.
Sites, in units of the cell vectors:
Fe  0.0000  0.5000  0.0000  2 V 2.15
Ge  0.5000  0.5000  0.5000  12 Fe 3.03
V  0.0000  0.0000  0.0000  6 Fe 2.15
Fe  0.0000  0.0000  0.5000  2 V 2.15
Fe  0.5000  0.0000  0.0000  2 V 2.15

Summary:
Energy of formation: 5.37 eV/f.u.
Space-group type: Pm-3m (221)

Entry 3:
Density functional theory data (GGA-PBE) for a relaxed structure of Pr2In5Br12.

Cell lengths 7.6465, 10.0552, 10.0552 Å; angles 62.94, 74.91, 74.91 degrees
With the nearest neighbours (Å) after each atom.
Sites, in units of the cell vectors:
In  0.9944  0.7497  0.7497  4 Br 3.19-3.37
In  0.0056  0.2503  0.2503  4 Br 3.19-3.37
Br  0.7934  0.0832  0.0832  1 In 3.00, 2 Pr 3.18
Pr  0.0000  0.2509  0.7491  8 Br 2.99-3.18
Br  0.2297  0.5190  0.1389  1 Pr 2.99, 2 In 3.05-3.19
Br  0.2109  0.5203  0.5203  2 Pr 3.15, 2 In 3.17-3.52, 1 Br 3.50
Br  0.7703  0.8611  0.4810  1 Pr 2.99, 2 In 3.05-3.19
In  0.5000  0.0000  0.0000  6 Br 2.90-3.00
In  0.5165  0.3474  0.3474  3 Br 3.05-3.17
Br  0.2066  0.9168  0.9168  1 In 3.00, 2 Pr 3.18
Br  0.7429  0.0907  0.7108  1 In 2.90, 1 Pr 3.04
In  0.4835  0.6526  0.6526  3 Br 3.05-3.17
Br  0.2297  0.1389  0.5190  1 Pr 2.99, 2 In 3.05-3.19
Br  0.7429  0.7108  0.0907  1 In 2.90, 1 Pr 3.04
Pr  0.0000  0.7491  0.2509  8 Br 2.99-3.18
Br  0.7891  0.4797  0.4797  2 Pr 3.15, 2 In 3.17-3.52, 1 Br 3.50
Br  0.2571  0.2892  0.9093  1 In 2.90, 1 Pr 3.04
Br  0.7703  0.4810  0.8611  1 Pr 2.99, 2 In 3.05-3.19
Br  0.2571  0.9093  0.2892  1 In 2.90, 1 Pr 3.04

Summary:
Space-group type: C2/m (12)
ΔE_f (raw): -1156 meV/atom

| no. | DOS at the Fermi energy (states/eV/atom) | density (g/cm3) |
| --- | --- | --- |
| 1 | 0.69 | 6.426 |
| 2 | 0.83 | 6.122 |
| 3 | 0.31 | 4.596 |